# SiTcHg2

SiTcHg2 after structural relaxation (PBE-GGA, Alexandria via LeMat-Bulk).

Calculated values
Energy relative to the elements, uncorrected ... 17.10 kcal/mol of atoms

a b c (Å): 2.9503 2.9503 10.4467
angles (deg): 90.00 90.00 122.54
Closest atoms and distances in Å follow each position.
Element x y z (fractional)
Hg: 0.0000 0.0000 0.9894  6 Hg 2.84-2.95, 2 Tc 2.87, 2 Si 3.07
Hg: 0.0000 0.0000 0.5106  6 Hg 2.84-2.95, 2 Tc 2.87, 2 Si 3.07
Si: 0.5000 0.5000 0.2500  6 Si 2.84-2.95, 4 Hg 3.07
Tc: 0.5000 0.5000 0.7500  6 Tc 2.84-2.95, 4 Hg 2.87


# SiTc3Hg

SiTc3Hg after structural relaxation (PBE-GGA, Alexandria via LeMat-Bulk).

Calculated values
Energy relative to the elements, uncorrected ... 20.14 kcal/mol of atoms
Relative energy among the computed polymorphs ... 0 meV/atom

a b c (Å): 4.4475 4.4475 4.4475
angles (deg): 90.00 90.00 90.00
Closest atoms and distances in Å follow each position.
Element x y z (fractional)
Si: 0.0000 0.0000 0.0000  6 Tc 2.22
Hg: 0.5000 0.5000 0.5000  12 Tc 3.14
Tc: 0.0000 0.5000 0.0000  2 Si 2.22
Tc: 0.0000 0.0000 0.5000  2 Si 2.22
Tc: 0.5000 0.0000 0.0000  2 Si 2.22


# SiTc4Hg

SiTc4Hg after structural relaxation (PBE-GGA, Alexandria via LeMat-Bulk).

Calculated values
Energy relative to the elements, uncorrected ... 15.01 kcal/mol of atoms

a b c (Å): 5.1759 5.1759 5.1759
angles (deg): 60.00 60.00 60.00
Closest atoms and distances in Å follow each position.
Element x y z (fractional)
Si: 0.0000 0.0000 0.0000  12 Tc 3.03, 4 Hg 3.17
Tc: 0.8754 0.3748 0.3748  6 Tc 2.58-2.59
Tc: 0.3748 0.3748 0.8754  6 Tc 2.58-2.59
Tc: 0.3748 0.8754 0.3748  6 Tc 2.58-2.59
Tc: 0.3748 0.3748 0.3748  6 Tc 2.58-2.59
Hg: 0.7500 0.7500 0.7500  12 Tc 3.03, 4 Si 3.17


# SiTcHg2

SiTcHg2 after structural relaxation (PBE-GGA, Alexandria via LeMat-Bulk).

Calculated values
Energy relative to the elements, uncorrected ... 13.86 kcal/mol of atoms

a b c (Å): 5.4620 2.8754 4.7375
angles (deg): 92.46 90.00 90.00
Closest atoms and distances in Å follow each position.
Element x y z (fractional)
Hg: 0.0000 0.0042 0.9990  6 Hg 2.71-2.88
Hg: 0.0000 0.4958 0.5010  6 Hg 2.71-2.88
Si: 0.5000 0.2500 0.2500  4 Tc 2.72-2.82, 2 Si 2.88
Tc: 0.5000 0.7500 0.7500  4 Si 2.72-2.82, 2 Tc 2.88


# SiTcHg2

SiTcHg2 after structural relaxation (PBE-GGA, Alexandria via LeMat-Bulk).

Calculated values
Energy relative to the elements, uncorrected ... 16.04 kcal/mol of atoms

a b c (Å): 10.4827 10.4827 10.4827
angles (deg): 15.96 15.96 15.96
Closest atoms and distances in Å follow each position.
Element x y z (fractional)
Hg: 0.0056 0.0056 0.0056  6 Hg 2.91, 3 Tc 2.94, 3 Si 3.23
Hg: 0.4944 0.4944 0.4944  6 Hg 2.91, 3 Tc 2.94, 3 Si 3.23
Si: 0.2500 0.2500 0.2500  6 Si 2.91, 6 Hg 3.23
Tc: 0.7500 0.7500 0.7500  6 Tc 2.91, 6 Hg 2.94


# Si3TcHg

Si3TcHg after structural relaxation (PBE-GGA, Alexandria via LeMat-Bulk).

Calculated values
Energy relative to the elements, uncorrected ... 7.72 kcal/mol of atoms
Relative energy among the computed polymorphs ... 0 meV/atom

a b c (Å): 4.7167 4.7167 4.7167
angles (deg): 90.00 90.00 90.00
Closest atoms and distances in Å follow each position.
Element x y z (fractional)
Si: 0.0000 0.5000 0.0000  2 Tc 2.36
Si: 0.0000 0.0000 0.5000  2 Tc 2.36
Si: 0.5000 0.0000 0.0000  2 Tc 2.36
Hg: 0.5000 0.5000 0.5000  12 Si 3.34
Tc: 0.0000 0.0000 0.0000  6 Si 2.36


# SiTcHg2

SiTcHg2 after structural relaxation (PBE-GGA, Alexandria via LeMat-Bulk).

Calculated values
Energy relative to the elements, uncorrected ... 3.79 kcal/mol of atoms

a b c (Å): 3.1917 3.2025 8.6285
angles (deg): 61.27 90.00 90.00
Closest atoms and distances in Å follow each position.
Element x y z (fractional)
Hg: 0.0000 0.8918 0.9553  1 Si 2.90, 6 Hg 2.97-3.20, 4 Tc 3.04-3.05
Hg: 0.5000 0.4746 0.2862  2 Si 2.84, 2 Hg 2.97, 1 Tc 3.10
Si: 0.0000 0.3911 0.5724  4 Tc 2.42
Tc: 0.5000 0.7425 0.6861  4 Si 2.42


# SiTcHg2

SiTcHg2 after structural relaxation (PBE-GGA, Alexandria via LeMat-Bulk).

Calculated values
Energy relative to the elements, uncorrected ... 17.61 kcal/mol of atoms

a b c (Å): 7.6877 7.6877 6.0445
angles (deg): 50.51 50.51 90.00
Closest atoms and distances in Å follow each position.
Element x y z (fractional)
Si: 0.5000 0.5000 0.0000  2 Tc 2.64, 4 Hg 2.69
Si: 0.2500 0.7500 0.5000  2 Tc 2.64, 4 Hg 2.69
Hg: 0.6051 0.1250 0.2500  2 Hg 2.66, 2 Si 2.69, 2 Tc 2.90
Hg: 0.1449 0.6250 0.2500  2 Hg 2.66, 2 Si 2.69, 2 Tc 2.90
Hg: 0.3750 0.3949 0.7500  2 Hg 2.66, 2 Si 2.69, 2 Tc 2.90
Hg: 0.8750 0.8551 0.7500  2 Hg 2.66, 2 Si 2.69, 2 Tc 2.90
Tc: 0.0000 0.0000 0.0000  2 Si 2.64, 4 Hg 2.90
Tc: 0.7500 0.2500 0.5000  2 Si 2.64, 4 Hg 2.90


# Si2Tc2Hg

Si2Tc2Hg after structural relaxation (PBE-GGA, Alexandria via LeMat-Bulk).

Calculated values
Energy relative to the elements, uncorrected ... -2.01 kcal/mol of atoms
Relative energy among the computed polymorphs ... 0 meV/atom

a b c (Å): 7.1562 7.1562 3.0035
angles (deg): 90.00 90.00 90.00
Closest atoms and distances in Å follow each position.
Element x y z (fractional)
Si: 0.1429 0.6429 0.5000  6 Tc 2.56-2.61
Si: 0.6429 0.8571 0.5000  6 Tc 2.56-2.61
Si: 0.8571 0.3571 0.5000  6 Tc 2.56-2.61
Si: 0.3571 0.1429 0.5000  6 Tc 2.56-2.61
Hg: 0.0000 0.0000 0.0000  4 Tc 2.74, 2 Hg 3.00
Hg: 0.5000 0.5000 0.0000  4 Tc 2.74, 2 Hg 3.00
Tc: 0.3536 0.8536 0.0000  6 Si 2.56-2.61, 2 Hg 2.74
Tc: 0.8536 0.6464 0.0000  6 Si 2.56-2.61, 2 Hg 2.74
Tc: 0.6464 0.1464 0.0000  6 Si 2.56-2.61, 2 Hg 2.74
Tc: 0.1464 0.3536 0.0000  6 Si 2.56-2.61, 2 Hg 2.74


# SiTcHg2

SiTcHg2 after structural relaxation (PBE-GGA, Alexandria via LeMat-Bulk).

Calculated values
Energy relative to the elements, uncorrected ... 2.69 kcal/mol of atoms

a b c (Å): 7.5826 7.5826 3.9851
angles (deg): 74.75 74.75 21.44
Closest atoms and distances in Å follow each position.
Element x y z (fractional)
Hg: 0.9285 0.9285 0.0715  2 Hg 2.82, 2 Tc 2.93
Hg: 0.5715 0.5715 0.4285  2 Hg 2.82, 2 Tc 2.93
Si: 0.7500 0.7500 0.7500  4 Tc 2.44
Tc: 0.2500 0.2500 0.2500  4 Si 2.44


# SiTcHg

SiTcHg after structural relaxation (PBE-GGA, Alexandria via LeMat-Bulk).

Calculated values
Energy relative to the elements, uncorrected ... 10.51 kcal/mol of atoms
Relative energy among the computed polymorphs ... 286 meV/atom

a b c (Å): 7.3179 7.0819 2.9041
angles (deg): 82.97 73.84 23.19
Closest atoms and distances in Å follow each position.
Element x y z (fractional)
Hg: 0.9953 0.9953 0.0047  6 Hg 2.90-3.17, 2 Tc 2.94, 2 Si 3.11
Si: 0.6892 0.6892 0.3108  2 Tc 2.36
Tc: 0.3156 0.3156 0.6844  2 Si 2.36


# SiTcHg2

SiTcHg2 after structural relaxation (PBE-GGA, Alexandria via LeMat-Bulk).

Calculated values
Energy relative to the elements, uncorrected ... 8.97 kcal/mol of atoms

a b c (Å): 2.9275 2.9275 9.9949
angles (deg): 90.00 90.00 112.89
Closest atoms and distances in Å follow each position.
Element x y z (fractional)
Hg: 0.0000 0.0000 0.9648  6 Hg 2.93-3.24, 2 Tc 2.95
Hg: 0.5000 0.5000 0.2710  6 Hg 2.93-3.24, 2 Si 3.19
Si: 0.0000 0.0000 0.5456  2 Tc 2.37
Tc: 0.5000 0.5000 0.7186  2 Si 2.37


# SiTcHg2

SiTcHg2 after structural relaxation (PBE-GGA, Alexandria via LeMat-Bulk).

Calculated values
Energy relative to the elements, uncorrected ... 15.01 kcal/mol of atoms

a b c (Å): 3.9084 3.9084 4.7348
angles (deg): 90.00 90.00 90.00
Closest atoms and distances in Å follow each position.
Element x y z (fractional)
Hg: 0.0000 0.0000 0.0000  4 Hg 2.76, 4 Tc 3.07, 4 Si 3.07
Hg: 0.5000 0.5000 0.0000  4 Hg 2.76, 4 Tc 3.07, 4 Si 3.07
Si: 0.5000 0.0000 0.5000  4 Tc 2.76, 8 Hg 3.07
Tc: 0.0000 0.5000 0.5000  4 Si 2.76, 8 Hg 3.07


# SiTcHg2

SiTcHg2 after structural relaxation (PBE-GGA, Alexandria via LeMat-Bulk).

Calculated values
Energy relative to the elements, uncorrected ... 6.03 kcal/mol of atoms

a b c (Å): 9.3043 9.3043 9.3043
angles (deg): 19.20 19.20 19.20
Closest atoms and distances in Å follow each position.
Element x y z (fractional)
Hg: 0.0094 0.0094 0.0094  3 Tc 2.96, 9 Hg 3.10-3.29
Hg: 0.2419 0.2419 0.2419  3 Si 3.02, 9 Hg 3.10-3.29
Si: 0.4866 0.4866 0.4866  3 Tc 2.39
Tc: 0.7621 0.7621 0.7621  3 Si 2.39


# SiTc3Hg

SiTc3Hg after structural relaxation (PBE-GGA, Alexandria via LeMat-Bulk).

Calculated values
Energy relative to the elements, uncorrected ... 60.77 kcal/mol of atoms
Relative energy among the computed polymorphs ... 1762 meV/atom

a b c (Å): 5.0781 5.0781 5.0781
angles (deg): 90.00 90.00 90.00
Closest atoms and distances in Å follow each position.
Element x y z (fractional)
Si: 0.5000 0.5000 0.5000  12 Tc 3.59
Hg: 0.0000 0.0000 0.0000  6 Tc 2.54
Tc: 0.0000 0.5000 0.0000  2 Hg 2.54
Tc: 0.0000 0.0000 0.5000  2 Hg 2.54
Tc: 0.5000 0.0000 0.0000  2 Hg 2.54


# SiTcHg2

SiTcHg2 after structural relaxation (PBE-GGA, Alexandria via LeMat-Bulk).

Calculated values
Energy relative to the elements, uncorrected ... 13.65 kcal/mol of atoms

a b c (Å): 5.1994 5.1994 5.1994
angles (deg): 134.00 134.00 67.09
Closest atoms and distances in Å follow each position.
Element x y z (fractional)
Hg: 0.0000 0.0000 0.0000  4 Si 2.87, 4 Hg 2.97, 4 Tc 2.97
Hg: 0.2500 0.7500 0.5000  4 Tc 2.87, 4 Hg 2.97, 4 Si 2.97
Si: 0.5000 0.5000 0.0000  8 Hg 2.87-2.97, 4 Tc 2.97
Tc: 0.7500 0.2500 0.5000  8 Hg 2.87-2.97, 4 Si 2.97


# SiTcHg2

SiTcHg2 after structural relaxation (PBE-GGA, Alexandria via LeMat-Bulk).

Calculated values
Energy relative to the elements, uncorrected ... 17.11 kcal/mol of atoms

a b c (Å): 2.9046 2.9046 9.0711
angles (deg): 90.00 90.00 90.00
Closest atoms and distances in Å follow each position.
Element x y z (fractional)
Hg: 0.0000 0.0000 0.9833  4 Hg 2.90, 4 Tc 2.95, 4 Si 3.17
Hg: 0.0000 0.0000 0.5167  4 Hg 2.90, 4 Tc 2.95, 4 Si 3.17
Si: 0.5000 0.5000 0.2500  4 Si 2.90, 8 Hg 3.17
Tc: 0.5000 0.5000 0.7500  4 Tc 2.90, 8 Hg 2.95


# SiTcHg2

SiTcHg2 after structural relaxation (PBE-GGA, Alexandria via LeMat-Bulk).

Calculated values
Energy relative to the elements, uncorrected ... 9.91 kcal/mol of atoms

a b c (Å): 5.6588 5.6588 5.6588
angles (deg): 144.97 133.24 59.75
Closest atoms and distances in Å follow each position.
Element x y z (fractional)
Hg: 0.0217 0.0217 0.0000  4 Si 2.90, 2 Hg 3.09, 4 Tc 3.11-3.21
Hg: 0.7376 0.2376 0.5000  4 Tc 2.86, 2 Si 3.09, 2 Hg 3.09
Si: 0.4534 0.4534 0.0000  2 Tc 2.36
Tc: 0.2873 0.7873 0.5000  2 Si 2.36


# SiTcHg

SiTcHg after structural relaxation (PBE-GGA, Alexandria via LeMat-Bulk).

Calculated values
Energy relative to the elements, uncorrected ... 13.66 kcal/mol of atoms
Relative energy among the computed polymorphs ... 423 meV/atom

a b c (Å): 4.3160 4.3160 4.3160
angles (deg): 60.00 60.00 60.00
Closest atoms and distances in Å follow each position.
Element x y z (fractional)
Hg: 0.0000 0.0000 0.0000  4 Tc 2.64
Si: 0.5000 0.5000 0.5000  4 Tc 2.64
Tc: 0.7500 0.7500 0.7500  4 Hg 2.64, 4 Si 2.64


# SiTcHg

SiTcHg after structural relaxation (PBE-GGA, Alexandria via LeMat-Bulk).

Calculated values
Energy relative to the elements, uncorrected ... 3.91 kcal/mol of atoms
Relative energy among the computed polymorphs ... 0 meV/atom

a b c (Å): 5.5049 5.5049 5.5049
angles (deg): 146.11 146.11 48.68
Closest atoms and distances in Å follow each position.
Element x y z (fractional)
Hg: 0.0037 0.0037 0.0000  5 Si 2.87-3.12, 5 Tc 2.98-3.05, 4 Hg 3.21
Si: 0.2895 0.2895 0.0000  4 Tc 2.42
Tc: 0.7068 0.7068 0.0000  4 Si 2.42